3
Lattice="-1.7300 1.6803 -1.0852 0.9023 -1.4877 -3.7418 -3.0387 -1.6967 2.2172" Properties=species:S:1:pos:R:3 comment="PBE AlVNi, relaxed" ef_kj_per_mol_fu=-64.3 pbc="T T T"
Ni -0.8380 -1.1430 -2.0231
Al -0.1882 0.1828 -0.1180
V -2.8403 -0.5438 -0.4687



12
Lattice="-1.3656 -3.1741 0.8489 3.0260 -0.8568 1.6642 -3.8433 4.0850 9.0914" Properties=species:S:1:pos:R:3 comment="PBE AlV2Ni9, relaxed" ef_kj_per_mol_fu=-349.6 pbc="T T T"
Al 0.0000 0.0000 0.0000
V -1.2686 1.3484 3.0009
V -2.5747 2.7366 6.0905
Ni 0.8302 -2.0154 1.2565
Ni -0.4577 -0.6465 4.3032
Ni -1.7251 0.7006 7.3013
Ni -1.3377 -0.8910 1.9735
Ni -2.6044 0.4555 4.9702
Ni -3.8712 1.8019 7.9668
Ni 0.8581 0.2676 2.3812
Ni -0.4086 1.6141 5.3778
Ni -1.6754 2.9605 8.3744



6
Lattice="2.7860 0.0000 0.0000 0.0000 2.7860 0.0000 0.0000 0.0000 9.9183" Properties=species:S:1:pos:R:3 comment="PBE Al3VNi2, relaxed" ef_kj_per_mol_fu=-294.6 pbc="T T T"
Al 0.0000 0.0000 0.0000
Al 0.0000 0.0000 6.8531
Al 0.0000 0.0000 3.0652
V 1.3930 1.3930 4.9592
Ni 1.3930 1.3930 8.3817
Ni 1.3930 1.3930 1.5366



20
Lattice="3.5979 0.0000 0.0000 0.0000 8.0571 -0.1052 0.0000 0.0930 8.0766" Properties=species:S:1:pos:R:3 comment="PBE AlV3Ni6, relaxed" ef_kj_per_mol_fu=-273.7 pbc="T T T"
Al 0.8995 7.6497 4.8850
Al 2.6984 0.5004 3.0865
V 0.8995 4.4864 3.1753
V 2.6984 3.6637 4.7961
V 0.8995 2.8754 6.3284
V 2.6984 5.2748 1.6430
V 0.8995 6.0614 -0.0766
V 2.6984 2.0887 8.0480
Ni 0.8995 3.6518 0.7357
Ni 2.6984 4.4983 7.2357
Ni 0.8995 1.2717 1.5041
Ni 2.6984 6.8784 6.4673
Ni 0.8995 5.2754 5.6334
Ni 2.6984 2.8747 2.3381
Ni 0.8995 1.9916 3.9414
Ni 2.6984 6.1585 4.0300
Ni 0.8995 6.9501 2.3647
Ni 2.6984 1.2000 5.6067
Ni 0.8995 0.5028 7.2768
Ni 2.6984 7.6474 0.6946



4
Lattice="-2.8787 -0.1767 -3.1097 -3.9121 -1.4239 0.8101 -3.2797 2.6892 -0.0090" Properties=species:S:1:pos:R:3 comment="PBE Al2VNi, relaxed" ef_kj_per_mol_fu=-114.0 pbc="T T T"
Ni -5.0353 0.5443 -1.1543
Al -2.5176 0.2721 -0.5772
Al -7.5529 0.8164 -1.7315
V 0.0000 0.0000 0.0000



16
Lattice="5.0122 -0.0107 0.0000 0.0106 5.0122 0.0000 0.0000 0.0000 7.0472" Properties=species:S:1:pos:R:3 comment="PBE AlVNi14, relaxed" ef_kj_per_mol_fu=-238.0 pbc="T T T"
Al 1.8836 1.8756 3.5236
V 4.3950 4.3764 3.5236
Ni 4.3950 4.3764 0.0000
Ni 1.8835 1.8756 0.0000
Ni 4.3897 1.8703 3.5236
Ni 4.3897 1.8702 0.0000
Ni 1.8889 4.3817 3.5236
Ni 1.8889 4.3817 0.0000
Ni 3.1411 0.6127 1.7527
Ni 3.1411 0.6127 5.2945
Ni 0.6261 3.1385 1.7527
Ni 0.6261 3.1385 5.2945
Ni 3.1461 3.1328 1.7527
Ni 3.1461 3.1328 5.2945
Ni 0.6210 0.6184 1.7527
Ni 0.6210 0.6184 5.2945



11
Lattice="3.7259 0.0000 -1.1314 -0.7391 5.4726 -2.4339 -0.0438 -0.4174 6.5565" Properties=species:S:1:pos:R:3 comment="PBE AlV2Ni8, relaxed" ef_kj_per_mol_fu=-181.5 pbc="T T T"
Al 1.8630 0.0000 -0.5657
V 0.2037 3.6533 0.6710
V 2.7393 1.4019 2.3203
Ni 1.7615 4.5781 -0.8998
Ni 0.8676 2.8011 2.8574
Ni 0.4619 0.7389 1.5213
Ni -0.2193 1.6239 -0.7222
Ni 2.4811 4.3162 1.4700
Ni 2.0754 2.2541 0.1339
Ni 1.1815 0.4770 3.8910
Ni 3.1623 3.4312 3.7134



8
Lattice="6.7148 0.0000 0.0000 0.0000 6.7148 0.0000 3.3574 3.3574 2.5981" Properties=species:S:1:pos:R:3 comment="PBE Al2VNi, relaxed" ef_kj_per_mol_fu=33.7 pbc="T T T"
Ni 0.0000 0.0000 0.0000
Ni 6.7148 3.3574 1.2991
Al 5.2668 1.6787 0.6495
Al 1.4480 5.0361 0.6495
Al 5.0361 4.8054 1.9486
Al 8.3935 8.6242 1.9486
V 3.3574 3.3574 0.0000
V 3.3574 6.7148 1.2991